Entry 1:
# Ho4Cu2Os

Ho4Cu2Os after structural relaxation (GGA-PBE, Alexandria via LeMat-Bulk).

Its raw total energy is -39.03 eV/f.u. The calculated formation energy comes out at -0.186 eV/atom.

a = 4.8482 Å, b = 4.8482 Å, c = 8.3571 Å
α = 73.14°, β = 73.14°, γ = 60.00°
With the nearest neighbours (Å) after each atom.
Fractional coordinates of all 7 atoms:
Cu1 0.7489 0.7489 0.7532  8 Ho 2.90-3.04
Cu2 0.2511 0.2511 0.2468  8 Ho 2.90-3.04
Ho1 0.8776 0.8776 0.3671  1 Os 2.89, 4 Cu 2.96-3.04
Ho2 0.3741 0.3741 0.8778  4 Cu 2.90-2.97, 3 Os 2.96
Os1 0.0000 0.0000 0.0000  8 Ho 2.89-2.96
Ho3 0.1224 0.1224 0.6329  1 Os 2.89, 4 Cu 2.96-3.04
Ho4 0.6259 0.6259 0.1222  4 Cu 2.90-2.97, 3 Os 2.96



Entry 2:
# Ho8CuOs2

Ho8CuOs2 after structural relaxation (GGA-PBE, Alexandria via LeMat-Bulk).

Its raw total energy is -64.62 eV/f.u. The calculated formation energy comes out at -0.131 eV/atom.

a = 5.7163 Å, b = 7.5703 Å, c = 7.5703 Å
α = 111.03°, β = 99.30°, γ = 99.30°
With the nearest neighbours (Å) after each atom.
Fractional coordinates of all 11 atoms:
Ho1 0.5837 0.3403 0.0753  2 Os 2.79-2.84
Ho2 0.7931 0.6308 0.6308  2 Os 2.94, 1 Cu 3.19
Cu1 0.1221 0.0008 0.0008  8 Ho 2.94-3.19
Ho3 0.1858 0.3728 0.3728  2 Os 2.94, 1 Cu 3.10
Os1 0.4879 0.6928 0.3168  8 Ho 2.79-3.06
Ho4 0.9897 0.2290 0.7736  1 Cu 2.94, 2 Os 3.03-3.06
Ho5 0.5837 0.0753 0.3403  2 Os 2.79-2.84
Os2 0.4879 0.3168 0.6928  8 Ho 2.79-3.06
Ho6 0.9897 0.7736 0.2290  1 Cu 2.94, 2 Os 3.03-3.06
Ho7 0.3881 0.6685 0.9333  2 Os 2.80-2.84, 1 Cu 3.08
Ho8 0.3881 0.9333 0.6685  2 Os 2.80-2.84, 1 Cu 3.08



Entry 3:
# Ho4CuOs

Ho4CuOs after structural relaxation (GGA-PBE, Alexandria via LeMat-Bulk).

The calculation puts the offset from the most stable computed form at 0.343 eV per formula unit. Its raw total energy is -34.35 eV/f.u. The calculated formation energy comes out at -0.118 eV/atom.

a = 6.8555 Å, b = 6.8413 Å, c = 6.8310 Å
α = 90.00°, β = 87.93°, γ = 90.00°
With the nearest neighbours (Å) after each atom.
Fractional coordinates of all 12 atoms:
Ho1 0.6726 0.1625 0.8440  2 Os 2.75-2.79, 1 Cu 2.89
Ho2 0.8471 0.1627 0.3315  1 Os 2.70, 2 Cu 2.80-2.83
Os1 0.5000 0.5000 0.0000  6 Ho 2.70-2.79
Cu1 0.5000 0.0000 0.5000  6 Ho 2.80-2.89
Ho3 0.3471 0.3373 0.3315  1 Os 2.70, 2 Cu 2.80-2.83
Cu2 0.0000 0.5000 0.5000  6 Ho 2.80-2.89
Ho4 0.6529 0.6627 0.6685  1 Os 2.70, 2 Cu 2.80-2.83
Ho5 0.3274 0.8375 0.1560  2 Os 2.75-2.79, 1 Cu 2.89
Os2 0.0000 0.0000 0.0000  6 Ho 2.70-2.79
Ho6 0.1529 0.8373 0.6685  1 Os 2.70, 2 Cu 2.80-2.83
Ho7 0.1726 0.3375 0.8440  2 Os 2.75-2.79, 1 Cu 2.89
Ho8 0.8274 0.6625 0.1560  2 Os 2.75-2.79, 1 Cu 2.89



Entry 4:
# Ho8Cu2Os

Ho8Cu2Os after structural relaxation (GGA-PBE, Alexandria via LeMat-Bulk).

The calculation puts the offset from the most stable computed form at 1.321 eV per formula unit. Its raw total energy is -56.58 eV/f.u. The calculated formation energy comes out at -0.049 eV/atom.

a = 5.8591 Å, b = 7.7225 Å, c = 7.7225 Å
α = 116.09°, β = 101.18°, γ = 101.18°
With the nearest neighbours (Å) after each atom.
Fractional coordinates of all 11 atoms:
Ho1 0.5850 0.3383 0.0907  2 Cu 2.80-2.84, 1 Os 2.99
Ho2 0.3681 0.9132 0.6662  2 Cu 2.83-2.88, 1 Os 2.99
Ho3 0.9882 0.7973 0.2052  1 Os 2.83
Ho4 0.1777 0.3623 0.3623  1 Os 2.88, 2 Cu 3.14
Cu1 0.4933 0.3108 0.7034  6 Ho 2.80-3.14
Cu2 0.4933 0.7034 0.3108  6 Ho 2.80-3.14
Os1 0.1480 0.0030 0.0030  8 Ho 2.83-2.99
Ho5 0.8048 0.6434 0.6434  1 Os 2.89, 2 Cu 3.11
Ho6 0.9882 0.2052 0.7973  1 Os 2.83
Ho7 0.5850 0.0907 0.3383  2 Cu 2.80-2.84, 1 Os 2.99
Ho8 0.3681 0.6662 0.9132  2 Cu 2.83-2.88, 1 Os 2.99



Entry 5:
# Ho8Cu2Os

Ho8Cu2Os after structural relaxation (GGA-PBE, Alexandria via LeMat-Bulk).

The calculation puts the offset from the most stable computed form at 0.000 eV per formula unit. Its raw total energy is -57.90 eV/f.u. The calculated formation energy comes out at -0.169 eV/atom.

a = 5.0649 Å, b = 6.6854 Å, c = 8.9275 Å
α = 106.77°, β = 106.48°, γ = 90.00°
With the nearest neighbours (Å) after each atom.
Fractional coordinates of all 11 atoms:
Ho1 0.6669 0.9765 0.3338  1 Cu 2.76, 1 Os 2.91
Cu1 0.8164 0.2849 0.6328  3 Ho 2.73-2.80
Cu2 0.1836 0.7151 0.3672  3 Ho 2.73-2.80
Ho2 0.8019 0.6809 0.6038  1 Cu 2.73
Ho3 0.4091 0.5604 0.8181  1 Os 2.88
Ho4 0.3331 0.0235 0.6662  1 Cu 2.76, 1 Os 2.91
Os1 0.5000 0.0000 0.0000  8 Ho 2.88-3.00
Ho5 0.1981 0.3191 0.3962  1 Cu 2.73
Ho6 0.5909 0.4396 0.1819  1 Os 2.88
Ho7 0.0322 0.7965 0.0643  1 Cu 2.80, 2 Os 3.00
Ho8 0.9678 0.2035 0.9357  1 Cu 2.80, 2 Os 3.00



Entry 6:
# Ho4CuOs

Ho4CuOs after structural relaxation (GGA-PBE, Alexandria via LeMat-Bulk).

The calculation puts the offset from the most stable computed form at 0.000 eV per formula unit. Its raw total energy is -34.69 eV/f.u. The calculated formation energy comes out at -0.176 eV/atom.

a = 9.4009 Å, b = 9.4009 Å, c = 9.4009 Å
α = 60.00°, β = 60.00°, γ = 60.00°
With the nearest neighbours (Å) after each atom.
Fractional coordinates of all 24 atoms:
Cu1 0.1725 0.1725 0.1725  3 Cu 2.91, 6 Ho 3.24-3.25
Ho1 0.5577 0.9423 0.5577  2 Os 2.74
Ho2 0.9423 0.9423 0.5577  2 Os 2.74
Os1 0.6089 0.6089 0.1733  6 Ho 2.74-2.83
Ho3 0.1909 0.8091 0.8091  2 Cu 3.25, 10 Ho 3.36-3.59, 2 Os 3.36
Ho4 0.9423 0.5577 0.9423  2 Os 2.74
Cu2 0.1725 0.1725 0.4825  3 Cu 2.91, 6 Ho 3.24-3.25
Cu3 0.4825 0.1725 0.1725  3 Cu 2.91, 6 Ho 3.24-3.25
Ho5 0.1909 0.1909 0.8091  2 Cu 3.25, 10 Ho 3.36-3.59, 2 Os 3.36
Os2 0.6089 0.6089 0.6089  6 Ho 2.74-2.83
Ho6 0.8117 0.3961 0.3961  3 Os 2.83
Ho7 0.3961 0.8117 0.3961  3 Os 2.83
Ho8 0.9423 0.5577 0.5577  2 Os 2.74
Ho9 0.1909 0.8091 0.1909  2 Cu 3.25, 10 Ho 3.36-3.59, 2 Os 3.36
Cu4 0.1725 0.4825 0.1725  3 Cu 2.91, 6 Ho 3.24-3.25
Ho10 0.5577 0.5577 0.9423  2 Os 2.74
Ho11 0.5577 0.9423 0.9423  2 Os 2.74
Os3 0.1733 0.6089 0.6089  6 Ho 2.74-2.83
Ho12 0.3961 0.3961 0.8117  3 Os 2.83
Ho13 0.8091 0.1909 0.8091  2 Cu 3.25, 10 Ho 3.36-3.59, 2 Os 3.36
Os4 0.6089 0.1733 0.6089  6 Ho 2.74-2.83
Ho14 0.8091 0.1909 0.1909  2 Cu 3.25, 10 Ho 3.36-3.59, 2 Os 3.36
Ho15 0.8091 0.8091 0.1909  2 Cu 3.25, 10 Ho 3.36-3.59, 2 Os 3.36
Ho16 0.3961 0.3961 0.3961  3 Os 2.83